[1]
{
  "formula": "PtPb2Br",
  "functional": "SCAN",
  "state": "single point on PBEsol structure",
  "e_form_raw_ev_per_atom": -0.4043,
  "total_magnetization_mub_per_cell": 0.00,
  "de_polymorph_ev_per_fu": 0.00,
  "sg": "C2/m",
  "lattice_angstrom": [[3.915, 0.000, 0.000], [-1.958, 3.388, -0.046], [0.000, -2.169, 7.992]],
  "species": ["Pb", "Pb", "Pt", "Br"],
  "fractional_positions": [[0.764, 0.527, 0.792], [0.236, 0.473, 0.208], [0.500, 0.000, 0.000], [0.000, 0.000, 0.500]]
}

***

[2]
{
  "formula": "TaCrSeN2",
  "functional": "SCAN",
  "state": "single point on PBEsol structure",
  "e_form_raw_ev_per_atom": 0.7531,
  "total_magnetization_mub_per_cell": 0.00,
  "de_polymorph_ev_per_fu": 3.87,
  "sg": "P4/mmm",
  "lattice_angstrom": [[-0.346, -3.493, -1.110], [3.088, 0.323, -1.979], [2.537, -1.435, 3.725]],
  "species": ["Cr", "N", "N", "Se", "Ta"],
  "fractional_positions": [[0.000, 0.000, 0.000], [0.000, 0.500, 0.000], [0.500, 0.000, 0.000], [0.000, 0.000, 0.500], [0.500, 0.500, 0.500]]
}

***

[3]
{
  "formula": "Tl2ZnP",
  "functional": "SCAN",
  "state": "single point on PBEsol structure",
  "total_magnetization_mub_per_cell": 0.00,
  "sg": "P4/mmm",
  "lattice_angstrom": [[3.383, 0.000, 0.000], [0.000, 3.383, 0.000], [0.000, 0.000, 7.693]],
  "species": ["P", "Tl", "Tl", "Zn"],
  "fractional_positions": [[0.500, 0.500, 0.500], [0.000, 0.000, 0.739], [0.000, 0.000, 0.261], [0.500, 0.500, 0.000]]
}

***

[4]
{
  "formula": "TcAgHg2",
  "functional": "SCAN",
  "state": "single point on PBEsol structure",
  "total_magnetization_mub_per_cell": 0.81,
  "de_polymorph_ev_per_fu": 0.00,
  "sg": "P4mm",
  "lattice_angstrom": [[2.829, 0.000, 0.000], [0.000, 2.829, 0.000], [0.000, 0.000, 8.933]],
  "species": ["Ag", "Hg", "Hg", "Tc"],
  "fractional_positions": [[0.500, 0.500, 0.732], [0.000, 0.000, 0.985], [0.500, 0.500, 0.273], [0.000, 0.000, 0.509]]
}

***

[5]
{
  "formula": "LiZn3",
  "functional": "SCAN",
  "state": "single point on PBEsol structure",
  "total_magnetization_mub_per_cell": 0.00,
  "sg": "P2/m",
  "lattice_angstrom": [[2.591, 0.000, -0.127], [0.000, 4.048, 0.000], [-1.435, 0.000, 5.336]],
  "species": ["Zn", "Zn", "Zn", "Li"],
  "fractional_positions": [[0.267, 0.500, 0.753], [0.500, 0.000, 0.500], [0.733, 0.500, 0.247], [0.000, 0.000, 0.000]]
}

***

[6]
{
  "formula": "AlFe3",
  "functional": "SCAN",
  "state": "single point on PBEsol structure",
  "total_magnetization_mub_per_cell": 8.84,
  "sg": "Pm-3m",
  "lattice_angstrom": [[4.429, 0.000, 0.000], [0.000, 4.429, 0.000], [0.000, 0.000, 4.429]],
  "species": ["Fe", "Fe", "Fe", "Al"],
  "fractional_positions": [[0.500, 0.000, 0.000], [0.000, 0.500, 0.000], [0.000, 0.000, 0.500], [0.000, 0.000, 0.000]]
}

***

[7]
{
  "formula": "Sr2NiIr",
  "functional": "SCAN",
  "state": "single point on PBEsol structure",
  "total_magnetization_mub_per_cell": 0.35,
  "sg": "R-3m",
  "lattice_angstrom": [[-2.884, -0.630, -2.034], [-2.139, -2.782, 0.735], [-6.323, 3.777, 4.636]],
  "species": ["Ir", "Ni", "Sr", "Sr"],
  "fractional_positions": [[0.500, 0.500, 0.500], [0.000, 0.000, 0.000], [0.251, 0.251, 0.248], [0.749, 0.749, 0.752]]
}

***

[8]
{
  "formula": "CsCdSb",
  "functional": "SCAN",
  "state": "single point on PBEsol structure",
  "e_form_raw_ev_per_atom": -0.4962,
  "total_magnetization_mub_per_cell": 0.00,
  "sg": "P6_3/mmc",
  "lattice_angstrom": [[-4.776, 0.051, -0.670], [2.741, -3.145, -2.420], [-1.290, -7.743, 8.602]],
  "species": ["Cs", "Cs", "Sb", "Sb", "Cd", "Cd"],
  "fractional_positions": [[0.000, 0.000, 0.000], [0.000, 0.000, 0.500], [0.667, 0.333, 0.250], [0.333, 0.667, 0.750], [0.667, 0.333, 0.750], [0.333, 0.667, 0.250]]
}

***

| no. | E_tot (eV per formula unit) |
| --- | --- |
| 1 | -242.83 |
| 2 | -119.86 |
| 3 | -166.94 |
| 4 | -200.71 |
| 5 | -43.50 |
| 6 | -54.99 |
| 7 | -129.41 |
| 8 | -106.97 |